VASP calculation (PBE) on a geometry-optimized NaDyBe structure.

Output
polymorph energy (0 for the lowest one) = 1.25 eV/f.u.
final energy = -6.48 eV/cell
total magnetic moment = 0.04 μB per cell

Unit cell a=4.778 b=4.778 c=4.778 alpha=60.00 beta=60.00 gamma=60.00
Sites, in units of the cell vectors:
Be 0.250 0.250 0.250
Dy 0.000 0.000 0.000
Na 0.750 0.750 0.750